Record 1
# Sb2SeO, relaxed, DFT PBE-GGA
# theoretical density	7.2	Mg/m³
# uncorrected formation energy	0.1799	eV/atom
# density of states at the Fermi level	3.4	states/eV/f.u.
# total magnetic moment	0.00	Bohr magnetons per cell
# total DFT energy (no corrections)	-63.87	eV for the cell shown
# energy above the most stable polymorph in this dataset	426.5	meV per atom
data_Sb2SeO
_chemical_formula_sum 'Sb8 Se4 O4'
_cell_length_a 6.800
_cell_length_b 6.800
_cell_length_c 6.800
_cell_angle_alpha 90.00
_cell_angle_beta 90.00
_cell_angle_gamma 90.00
_space_group_name_H-M_alt 'F m -3 m'
_space_group_IT_number 225
_space_group_name_Hall '-F 4 2 3'
loop_
_atom_site_label
_atom_site_fract_x
_atom_site_fract_y
_atom_site_fract_z
Sb1 0.250 0.250 0.250
Se1 0.000 0.000 0.000
O1 0.000 0.000 0.500

---

Record 2
# SbSeO5, relaxed, DFT PBE-GGA
# theoretical density	3.8	Mg/m³
# uncorrected formation energy	-0.8035	eV/atom
# density of states at the Fermi level	0.8	states/eV/f.u.
# total magnetic moment	0.00	Bohr magnetons per cell
# total DFT energy (no corrections)	-152.09	eV for the cell shown
# energy above the most stable polymorph in this dataset	0.0	meV per atom
data_SbSeO5
_chemical_formula_sum 'Sb4 Se4 O20'
_cell_length_a 5.284
_cell_length_b 9.653
_cell_length_c 9.713
_cell_angle_alpha 90.00
_cell_angle_beta 90.00
_cell_angle_gamma 90.00
_space_group_name_H-M_alt 'P 21 21 21'
_space_group_IT_number 19
loop_
_space_group_symop_operation_xyz
'x,y,z'
'-x+1/2,-y,z+1/2'
'x+1/2,-y+1/2,-z'
'-x,y+1/2,-z+1/2'
loop_
_atom_site_label
_atom_site_fract_x
_atom_site_fract_y
_atom_site_fract_z
Sb1 0.125 0.157 0.407
Se1 0.124 0.534 0.785
O1 0.044 0.510 0.955
O2 0.121 0.010 0.825
O3 0.122 0.803 0.050
O4 0.135 0.577 0.258
O5 0.207 0.705 0.760

---

Record 3
# SbSe3O, relaxed, DFT PBE-GGA
# theoretical density	6.4	Mg/m³
# uncorrected formation energy	0.3421	eV/atom
# density of states at the Fermi level	2.2	states/eV/f.u.
# total magnetic moment	0.00	Bohr magnetons per cell
# total DFT energy (no corrections)	-17.82	eV for the cell shown
# energy above the most stable polymorph in this dataset	0.0	meV per atom
data_SbSe3O
_chemical_formula_sum 'Sb1 Se3 O1'
_cell_length_a 4.599
_cell_length_b 4.599
_cell_length_c 4.599
_cell_angle_alpha 90.00
_cell_angle_beta 90.00
_cell_angle_gamma 90.00
_space_group_name_H-M_alt 'P m -3 m'
_space_group_IT_number 221
_space_group_name_Hall '-P 4 2 3'
loop_
_atom_site_label
_atom_site_fract_x
_atom_site_fract_y
_atom_site_fract_z
Sb1 0.000 0.000 0.000
Se1 0.000 0.500 0.500
O1 0.500 0.500 0.500

---

Record 4
# SbSeO2, relaxed, DFT PBE-GGA
# theoretical density	7.0	Mg/m³
# uncorrected formation energy	0.2333	eV/atom
# density of states at the Fermi level	3.3	states/eV/f.u.
# total magnetic moment	0.00	Bohr magnetons per cell
# total DFT energy (no corrections)	-66.36	eV for the cell shown
# energy above the most stable polymorph in this dataset	694.0	meV per atom
data_SbSeO2
_chemical_formula_sum 'Sb4 Se4 O8'
_cell_length_a 6.048
_cell_length_b 6.048
_cell_length_c 6.048
_cell_angle_alpha 90.00
_cell_angle_beta 90.00
_cell_angle_gamma 90.00
_space_group_name_H-M_alt 'F m -3 m'
_space_group_IT_number 225
_space_group_name_Hall '-F 4 2 3'
loop_
_atom_site_label
_atom_site_fract_x
_atom_site_fract_y
_atom_site_fract_z
Sb1 0.000 0.000 0.000
Se1 0.000 0.000 0.500
O1 0.250 0.250 0.250

---

Record 5
# Sb2SeO, relaxed, DFT PBE-GGA
# theoretical density	5.7	Mg/m³
# uncorrected formation energy	-0.2466	eV/atom
# density of states at the Fermi level	1.1	states/eV/f.u.
# total magnetic moment	0.00	Bohr magnetons per cell
# total DFT energy (no corrections)	-70.70	eV for the cell shown
# energy above the most stable polymorph in this dataset	0.0	meV per atom
data_Sb2SeO
_chemical_formula_sum 'Sb8 Se4 O4'
_cell_length_a 5.204
_cell_length_b 5.204
_cell_length_c 14.645
_cell_angle_alpha 90.00
_cell_angle_beta 90.00
_cell_angle_gamma 90.00
_space_group_name_H-M_alt 'I -4 2 d'
_space_group_IT_number 122
_space_group_name_Hall 'I -4 2bw'
loop_
_atom_site_label
_atom_site_fract_x
_atom_site_fract_y
_atom_site_fract_z
Sb1 0.139 0.250 0.125
Se1 0.000 0.000 0.500
O1 0.000 0.000 0.000

---

Record 6
# Sb2SeO2, relaxed, DFT PBE-GGA
# theoretical density	5.0	Mg/m³
# uncorrected formation energy	-0.8373	eV/atom
# total magnetic moment	0.00	Bohr magnetons per cell
# total DFT energy (no corrections)	-51.66	eV for the cell shown
data_Sb2SeO2
_chemical_formula_sum 'Sb4 Se2 O4'
_cell_length_a 6.479
_cell_length_b 6.479
_cell_length_c 7.068
_cell_angle_alpha 116.48
_cell_angle_beta 111.20
_cell_angle_gamma 96.81
_space_group_name_H-M_alt 'P -1'
_space_group_IT_number 2
loop_
_space_group_symop_operation_xyz
'x,y,z'
'-x,-y,-z'
loop_
_atom_site_label
_atom_site_fract_x
_atom_site_fract_y
_atom_site_fract_z
Sb1 0.016 0.134 0.363
Sb2 0.270 0.653 0.137
Se1 0.330 0.579 0.750
O1 0.063 0.318 0.012
O2 0.193 0.948 0.510